TlC | PBE | optimized geometry

extended XYZ file:
```
4
Lattice="6.287 -0.008 0.022 2.686 5.684 -0.022 -3.274 -4.754 2.491" Properties=species:S:1:pos:R:3 pbc="T T T"
Tl 4.646 -0.721 0.639
Tl 1.053 1.643 1.852
C 4.349 3.077 0.617
C 1.350 -2.155 1.873
```

Values from the calculation:
Its relative energy among the computed polymorphs is 0.016 eV per atom. Its symmetry is No. 74. The value obtained for the energy of formation from the pure elements is 800 meV per atom.